## RbTiCr2O (GGA+U)

Data for crystalline RbTiCr2O at its relaxed geometry.

Output
total energy: -21.45 eV for the cell shown
SG: P4/mmm, No. 123
total magnetic moment: 1.23 μB per atom

Cell: 4.8966 7.8709 4.8966 Å, 90.00 90.00 90.00°
Fractional coordinates of all 5 atoms:
Cr 0.0000 0.0000 0.5000
Cr 0.5000 0.0000 0.0000
O 0.5000 0.5000 0.5000
Rb 0.0000 0.5000 0.0000
Ti 0.0000 0.0000 0.0000